# 1
{
  "formula": "LiMnPHO5",
  "functional": "meta-GGA SCAN",
  "state": "PBEsol geometry",
  "volume_a3_per_cell": 171.1,
  "dft_energy_ev_per_fu": -85.8,
  "lattice": [[-4.641, 0.506, -2.057], [-0.415, -4.805, 2.585], [0.647, 4.866, 5.072]],
  "species": ["O", "O", "O", "O", "P", "Li", "O", "Li", "Mn", "Mn", "O", "P", "O", "O", "H", "H", "O", "O"],
  "frac_coords": [[0.312, 0.328, 0.659], [0.118, 0.641, 0.879], [0.882, 0.359, 0.121], [0.688, 0.672, 0.341], [0.330, 0.625, 0.765], [0.750, 0.381, 0.820], [0.705, 0.228, 0.394], [0.250, 0.619, 0.180], [0.000, 0.000, 0.500], [0.000, 0.000, 0.000], [0.354, 0.253, 0.063], [0.670, 0.375, 0.235], [0.295, 0.772, 0.606], [0.845, 0.035, 0.723], [0.368, 0.085, 0.347], [0.632, 0.915, 0.653], [0.155, 0.965, 0.277], [0.646, 0.747, 0.937]]
}

=====

# 2
{
  "formula": "LiMnVP2H2O10",
  "functional": "meta-GGA SCAN",
  "state": "PBEsol geometry",
  "volume_a3_per_cell": 168.2,
  "dft_energy_ev_per_fu": -166.4,
  "dos_at_fermi_per_ev_fu": 2.309,
  "lattice": [[5.101, 0.229, -0.112], [-0.721, 5.166, 0.126], [-1.932, -2.860, 6.328]],
  "species": ["P", "O", "O", "O", "O", "Li", "Mn", "O", "O", "V", "O", "O", "O", "H", "O", "H", "P"],
  "frac_coords": [[0.388, 0.096, 0.765], [0.299, 0.826, 0.097], [0.807, 0.820, 0.139], [0.692, 0.183, 0.924], [0.851, 0.655, 0.755], [0.996, 0.504, 0.010], [0.996, 0.004, 0.010], [0.140, 0.354, 0.266], [0.625, 0.762, 0.409], [0.495, 0.505, 0.510], [0.691, 0.234, 0.372], [0.300, 0.775, 0.648], [0.366, 0.247, 0.612], [0.008, 0.659, 0.699], [0.184, 0.189, 0.882], [0.983, 0.350, 0.322], [0.604, 0.913, 0.256]]
}

=====

# 3
{
  "formula": "Li2MnH4S2O10",
  "functional": "meta-GGA SCAN",
  "state": "PBEsol geometry",
  "volume_a3_per_cell": 377.0,
  "dft_energy_ev_per_fu": -150.7,
  "dos_at_fermi_per_ev_fu": 0.000,
  "lattice": [[-2.728, 4.487, -1.537], [-4.132, -2.770, 1.898], [1.931, 5.224, 11.824]],
  "species": ["O", "O", "Li", "Li", "Mn", "O", "O", "H", "H", "O", "O", "O", "O", "S", "O", "Mn", "S", "S", "S", "O", "O", "O", "O", "H", "O", "H", "O", "O", "Li", "H", "H", "O", "H", "O", "O", "H", "O", "Li"],
  "frac_coords": [[0.724, 0.727, 0.069], [0.097, 0.462, 0.678], [0.815, 0.660, 0.616], [0.315, 0.660, 0.884], [0.000, 0.000, 0.000], [0.006, 0.002, 0.325], [0.224, 0.727, 0.431], [0.003, 0.891, 0.796], [0.997, 0.109, 0.204], [0.776, 0.273, 0.569], [0.008, 0.216, 0.140], [0.202, 0.219, 0.530], [0.298, 0.781, 0.030], [0.519, 0.234, 0.886], [0.492, 0.784, 0.640], [0.500, 0.000, 0.500], [0.019, 0.234, 0.614], [0.981, 0.766, 0.386], [0.481, 0.766, 0.114], [0.702, 0.219, 0.970], [0.403, 0.538, 0.178], [0.508, 0.216, 0.360], [0.494, 0.998, 0.825], [0.658, 0.348, 0.349], [0.506, 0.002, 0.175], [0.842, 0.652, 0.849], [0.903, 0.538, 0.322], [0.597, 0.462, 0.822], [0.685, 0.340, 0.116], [0.497, 0.109, 0.296], [0.503, 0.891, 0.704], [0.798, 0.781, 0.470], [0.158, 0.348, 0.151], [0.276, 0.273, 0.931], [0.994, 0.998, 0.675], [0.342, 0.652, 0.651], [0.992, 0.784, 0.860], [0.185, 0.340, 0.384]]
}

=====

# 4
{
  "formula": "LiMo3H",
  "functional": "meta-GGA SCAN",
  "state": "PBEsol geometry",
  "volume_a3_per_cell": 60.6,
  "dft_energy_ev_per_fu": -108.6,
  "dos_at_fermi_per_ev_fu": 2.238,
  "lattice": [[3.929, 0.000, 0.000], [0.000, 3.929, 0.000], [0.000, 0.000, 3.929]],
  "species": ["H", "Mo", "Mo", "Mo", "Li"],
  "frac_coords": [[0.000, 0.000, 0.000], [0.500, 0.000, 0.000], [0.000, 0.500, 0.000], [0.000, 0.000, 0.500], [0.500, 0.500, 0.500]]
}

=====

# 5
{
  "formula": "Li7H5N4",
  "functional": "meta-GGA SCAN",
  "state": "PBEsol geometry",
  "volume_a3_per_cell": 503.9,
  "dft_energy_ev_per_fu": -80.8,
  "dos_at_fermi_per_ev_fu": 0.000,
  "lattice": [[-0.769, -0.154, 7.017], [6.831, -0.981, 0.727], [1.422, 10.179, 0.379]],
  "species": ["H", "H", "Li", "H", "H", "Li", "Li", "N", "Li", "H", "N", "Li", "N", "Li", "H", "H", "H", "Li", "Li", "N", "Li", "Li", "N", "H", "N", "H", "H", "H", "N", "Li", "Li", "H", "Li", "N", "Li", "Li", "N", "H", "Li", "H", "Li", "N", "Li", "N", "H", "Li", "Li", "Li", "Li", "H", "Li", "Li", "N", "H", "Li", "N", "N", "N", "N", "Li", "H", "Li", "Li", "H"],
  "frac_coords": [[0.714, 0.504, 0.795], [0.495, 0.504, 0.206], [0.126, 0.752, 0.637], [0.214, 0.996, 0.295], [0.890, 0.868, 0.543], [0.115, 0.191, 0.091], [0.126, 0.252, 0.863], [0.597, 0.507, 0.735], [0.903, 0.505, 0.605], [0.214, 0.496, 0.205], [0.361, 0.733, 0.510], [0.835, 0.007, 0.119], [0.364, 0.756, 0.989], [0.335, 0.993, 0.881], [0.861, 0.149, 0.553], [0.995, 0.496, 0.794], [0.031, 0.365, 0.239], [0.627, 0.261, 0.135], [0.335, 0.493, 0.619], [0.623, 0.504, 0.257], [0.403, 0.995, 0.105], [0.615, 0.809, 0.909], [0.123, 0.496, 0.743], [0.890, 0.368, 0.957], [0.861, 0.767, 0.010], [0.531, 0.135, 0.739], [0.531, 0.635, 0.761], [0.861, 0.649, 0.947], [0.361, 0.233, 0.990], [0.115, 0.691, 0.409], [0.127, 0.239, 0.635], [0.031, 0.865, 0.261], [0.356, 0.985, 0.629], [0.097, 0.993, 0.235], [0.120, 0.271, 0.407], [0.627, 0.761, 0.365], [0.097, 0.493, 0.265], [0.361, 0.851, 0.447], [0.856, 0.015, 0.371], [0.495, 0.004, 0.294], [0.120, 0.771, 0.093], [0.123, 0.996, 0.757], [0.626, 0.248, 0.363], [0.864, 0.744, 0.489], [0.361, 0.351, 0.053], [0.620, 0.729, 0.593], [0.403, 0.495, 0.395], [0.127, 0.739, 0.865], [0.835, 0.507, 0.381], [0.714, 0.004, 0.705], [0.615, 0.309, 0.591], [0.626, 0.748, 0.137], [0.364, 0.256, 0.511], [0.390, 0.132, 0.457], [0.903, 0.005, 0.895], [0.597, 0.007, 0.765], [0.861, 0.267, 0.490], [0.864, 0.244, 0.011], [0.623, 0.004, 0.243], [0.856, 0.515, 0.129], [0.995, 0.996, 0.706], [0.356, 0.485, 0.871], [0.620, 0.229, 0.907], [0.390, 0.632, 0.043]]
}

=====

# 6
{
  "formula": "LiPH3NO3",
  "functional": "meta-GGA SCAN",
  "state": "PBEsol geometry",
  "volume_a3_per_cell": 335.2,
  "dft_energy_ev_per_fu": -65.0,
  "dos_at_fermi_per_ev_fu": 0.000,
  "lattice": [[4.762, 0.020, -0.008], [-0.521, 8.398, -0.024], [-2.050, -1.869, 8.388]],
  "species": ["H", "O", "H", "P", "N", "P", "Li", "N", "H", "P", "O", "H", "H", "O", "H", "O", "O", "O", "N", "H", "O", "H", "Li", "H", "Li", "O", "H", "O", "O", "H", "O", "N", "Li", "H", "O", "P"],
  "frac_coords": [[0.850, 0.385, 0.835], [0.205, 0.815, 0.170], [0.460, 0.401, 0.166], [0.009, 0.075, 0.770], [0.803, 0.913, 0.647], [0.106, 0.224, 0.493], [0.630, 0.143, 0.003], [0.197, 0.164, 0.666], [0.958, 0.450, 0.169], [0.894, 0.776, 0.507], [0.220, 0.770, 0.553], [0.150, 0.615, 0.165], [0.318, 0.694, 0.730], [0.365, 0.660, 0.835], [0.682, 0.306, 0.270], [0.757, 0.970, 0.103], [0.161, 0.505, 0.193], [0.635, 0.340, 0.165], [0.803, 0.836, 0.334], [0.582, 0.899, 0.641], [0.243, 0.030, 0.897], [0.421, 0.174, 0.716], [0.698, 0.432, 0.575], [0.540, 0.599, 0.834], [0.302, 0.568, 0.425], [0.289, 0.383, 0.516], [0.418, 0.101, 0.359], [0.780, 0.230, 0.447], [0.711, 0.617, 0.484], [0.579, 0.826, 0.284], [0.795, 0.185, 0.830], [0.197, 0.087, 0.353], [0.370, 0.857, 0.997], [0.042, 0.550, 0.831], [0.839, 0.495, 0.807], [0.991, 0.925, 0.230]]
}

=====

# 7
{
  "formula": "RbLiH4S2N2O6",
  "functional": "meta-GGA SCAN",
  "state": "PBEsol geometry",
  "volume_a3_per_cell": 755.2,
  "dft_energy_ev_per_fu": -133.2,
  "dos_at_fermi_per_ev_fu": 0.000,
  "lattice": [[-3.705, 5.686, 3.768], [3.212, -4.863, 7.786], [7.668, 6.700, -3.417]],
  "species": ["H", "N", "Li", "O", "Rb", "O", "H", "N", "H", "H", "H", "S", "O", "S", "N", "S", "H", "O", "N", "N", "O", "O", "O", "O", "O", "H", "H", "S", "O", "Li", "O", "H", "S", "O", "S", "S", "H", "N", "O", "Rb", "O", "H", "O", "O", "O", "Li", "H", "S", "Rb", "O", "H", "Rb", "H", "N", "O", "Li", "O", "O", "O", "H", "N", "O", "O", "H"],
  "frac_coords": [[0.763, 0.518, 0.216], [0.169, 0.561, 0.842], [0.107, 0.272, 0.952], [0.879, 0.285, 0.434], [0.784, 0.100, 0.658], [0.616, 0.957, 0.367], [0.542, 0.651, 0.857], [0.442, 0.715, 0.542], [0.685, 0.577, 0.745], [0.435, 0.827, 0.577], [0.315, 0.423, 0.255], [0.265, 0.175, 0.174], [0.804, 0.525, 0.957], [0.235, 0.604, 0.999], [0.558, 0.285, 0.458], [0.243, 0.621, 0.493], [0.458, 0.349, 0.143], [0.177, 0.170, 0.291], [0.388, 0.338, 0.221], [0.612, 0.662, 0.779], [0.121, 0.715, 0.566], [0.824, 0.851, 0.213], [0.217, 0.594, 0.350], [0.754, 0.514, 0.476], [0.860, 0.277, 0.930], [0.237, 0.482, 0.784], [0.501, 0.317, 0.385], [0.735, 0.825, 0.826], [0.161, 0.163, 0.565], [0.124, 0.289, 0.462], [0.823, 0.830, 0.709], [0.470, 0.337, 0.820], [0.765, 0.396, 0.001], [0.615, 0.932, 0.866], [0.757, 0.379, 0.507], [0.725, 0.840, 0.324], [0.499, 0.683, 0.615], [0.831, 0.439, 0.158], [0.196, 0.475, 0.043], [0.233, 0.891, 0.857], [0.135, 0.160, 0.065], [0.964, 0.475, 0.175], [0.839, 0.837, 0.435], [0.140, 0.723, 0.070], [0.423, 0.654, 0.008], [0.893, 0.728, 0.048], [0.530, 0.663, 0.180], [0.275, 0.160, 0.676], [0.216, 0.900, 0.342], [0.783, 0.406, 0.650], [0.528, 0.661, 0.341], [0.767, 0.109, 0.143], [0.565, 0.173, 0.423], [0.396, 0.324, 0.733], [0.176, 0.149, 0.787], [0.876, 0.711, 0.538], [0.577, 0.346, 0.992], [0.384, 0.043, 0.633], [0.865, 0.840, 0.935], [0.036, 0.525, 0.825], [0.604, 0.676, 0.267], [0.246, 0.486, 0.524], [0.385, 0.068, 0.134], [0.472, 0.339, 0.659]]
}

=====

# 8
{
  "formula": "LiH5SN2O4",
  "functional": "meta-GGA SCAN",
  "state": "PBEsol geometry",
  "volume_a3_per_cell": 447.5,
  "dft_energy_ev_per_fu": -86.5,
  "dos_at_fermi_per_ev_fu": 0.000,
  "lattice": [[5.006, 0.000, 0.000], [0.000, 8.986, 0.000], [0.000, 0.000, 9.949]],
  "species": ["H", "H", "O", "O", "S", "H", "O", "O", "H", "O", "N", "N", "O", "O", "S", "S", "H", "H", "Li", "N", "O", "O", "H", "O", "Li", "O", "Li", "N", "Li", "N", "H", "H", "H", "O", "N", "H", "H", "H", "H", "S", "H", "H", "O", "O", "N", "H", "H", "N", "O", "H", "O", "H"],
  "frac_coords": [[0.710, 0.316, 0.843], [0.552, 0.475, 0.008], [0.619, 0.490, 0.305], [0.649, 0.758, 0.268], [0.760, 0.870, 0.841], [0.744, 0.109, 0.623], [0.051, 0.613, 0.310], [0.119, 0.510, 0.695], [0.552, 0.025, 0.508], [0.551, 0.387, 0.690], [0.237, 0.788, 0.555], [0.237, 0.712, 0.055], [0.119, 0.990, 0.195], [0.734, 0.844, 0.989], [0.760, 0.630, 0.341], [0.260, 0.130, 0.159], [0.421, 0.735, 0.542], [0.052, 0.525, 0.992], [0.756, 0.932, 0.170], [0.737, 0.212, 0.445], [0.649, 0.742, 0.768], [0.551, 0.113, 0.190], [0.080, 0.717, 0.529], [0.051, 0.887, 0.810], [0.256, 0.432, 0.330], [0.149, 0.258, 0.232], [0.256, 0.068, 0.830], [0.238, 0.922, 0.477], [0.756, 0.568, 0.670], [0.738, 0.078, 0.523], [0.210, 0.684, 0.157], [0.210, 0.816, 0.657], [0.580, 0.217, 0.971], [0.619, 0.010, 0.805], [0.737, 0.288, 0.945], [0.921, 0.265, 0.458], [0.244, 0.891, 0.377], [0.052, 0.975, 0.492], [0.921, 0.235, 0.958], [0.260, 0.370, 0.659], [0.421, 0.765, 0.042], [0.744, 0.391, 0.123], [0.234, 0.344, 0.511], [0.234, 0.156, 0.011], [0.238, 0.578, 0.977], [0.244, 0.609, 0.877], [0.080, 0.783, 0.029], [0.738, 0.422, 0.023], [0.734, 0.656, 0.489], [0.580, 0.283, 0.471], [0.149, 0.242, 0.732], [0.710, 0.184, 0.343]]
}

=====

# 9
{
  "formula": "LiPH21S3N7",
  "functional": "meta-GGA SCAN",
  "state": "PBEsol geometry",
  "volume_a3_per_cell": 628.1,
  "dft_energy_ev_per_fu": -194.6,
  "dos_at_fermi_per_ev_fu": 0.000,
  "lattice": [[7.033, 0.047, 0.071], [2.016, 6.910, -0.012], [0.329, 0.416, 12.949]],
  "species": ["H", "H", "H", "H", "H", "P", "H", "S", "H", "N", "H", "H", "N", "N", "Li", "H", "N", "S", "H", "H", "H", "H", "H", "H", "H", "H", "H", "H", "H", "H", "H", "N", "H", "H", "H", "Li", "N", "H", "N", "S", "H", "P", "H", "N", "N", "S", "H", "S", "S", "H", "N", "H", "H", "H", "N", "H", "N", "N", "H", "H", "H", "H", "H", "N", "H", "H"],
  "frac_coords": [[0.854, 0.843, 0.041], [0.056, 0.727, 0.340], [0.548, 0.651, 0.482], [0.866, 0.613, 0.049], [0.346, 0.599, 0.037], [0.947, 0.170, 0.302], [0.749, 0.279, 0.068], [0.852, 0.426, 0.225], [0.110, 0.498, 0.395], [0.504, 0.972, 0.163], [0.134, 0.387, 0.951], [0.741, 0.430, 0.805], [0.503, 0.330, 0.591], [0.763, 0.165, 0.389], [0.426, 0.227, 0.080], [0.729, 0.358, 0.591], [0.671, 0.271, 0.003], [0.148, 0.574, 0.775], [0.538, 0.183, 0.609], [0.610, 0.598, 0.359], [0.251, 0.721, 0.932], [0.307, 0.352, 0.249], [0.765, 0.168, 0.957], [0.197, 0.944, 0.555], [0.146, 0.157, 0.959], [0.361, 0.055, 0.802], [0.965, 0.303, 0.529], [0.890, 0.502, 0.605], [0.928, 0.707, 0.939], [0.235, 0.832, 0.043], [0.654, 0.401, 0.963], [0.329, 0.729, 0.997], [0.271, 0.642, 0.409], [0.493, 0.447, 0.218], [0.634, 0.162, 0.355], [0.574, 0.773, 0.920], [0.828, 0.733, 0.001], [0.517, 0.858, 0.115], [0.641, 0.566, 0.806], [0.181, 0.159, 0.395], [0.072, 0.293, 0.061], [0.053, 0.830, 0.698], [0.693, 0.648, 0.751], [0.172, 0.267, 0.999], [0.359, 0.434, 0.194], [0.819, 0.841, 0.605], [0.390, 0.402, 0.641], [0.993, 0.058, 0.794], [0.007, 0.942, 0.206], [0.259, 0.570, 0.195], [0.237, 0.835, 0.611], [0.483, 0.142, 0.885], [0.604, 0.032, 0.782], [0.507, 0.553, 0.782], [0.116, 0.640, 0.404], [0.639, 0.945, 0.198], [0.884, 0.360, 0.596], [0.497, 0.670, 0.409], [0.803, 0.056, 0.445], [0.035, 0.697, 0.471], [0.366, 0.838, 0.645], [0.396, 0.968, 0.218], [0.944, 0.273, 0.660], [0.496, 0.028, 0.837], [0.462, 0.817, 0.391], [0.452, 0.349, 0.518]]
}

=====

# 10
{
  "formula": "NaLi3H",
  "functional": "meta-GGA SCAN",
  "state": "PBEsol geometry",
  "volume_a3_per_cell": 86.3,
  "dft_energy_ev_per_fu": -14.9,
  "dos_at_fermi_per_ev_fu": 1.967,
  "lattice": [[4.418, 0.000, 0.000], [0.000, 4.418, 0.000], [0.000, 0.000, 4.418]],
  "species": ["Li", "Li", "Li", "H", "Na"],
  "frac_coords": [[0.000, 0.500, 0.000], [0.500, 0.000, 0.000], [0.000, 0.000, 0.500], [0.000, 0.000, 0.000], [0.500, 0.500, 0.500]]
}